1.
## CuTc2P (GGA-PBE)

Data for a geometry-optimized CuTc2P structure.

For the total energy, the calculation gives -7.542 eV/atom. For the calculated formation energy, the calculation gives 0.018 eV/atom. The calculation puts the density of states at the Fermi level at 6.9 states/eV per cell.

a = 8.8349 Å, b = 2.9281 Å, c = 4.2636 Å
α = 90.00°, β = 107.53°, γ = 90.00°
With the nearest neighbours (Å) after each atom.
Sites, in units of the cell vectors:
Cu (0.0000, 0.0000, 0.0000)  7 Tc 2.48-2.62, 2 P 2.58
Cu (0.5000, 0.5000, 0.0000)  7 Tc 2.48-2.62, 2 P 2.58
Tc (0.2473, 0.0000, 0.8368)  3 Cu 2.48-2.58, 4 P 2.50-2.67
Tc (0.4775, 0.0000, 0.4796)  3 P 2.49-2.63, 4 Cu 2.57-2.62
Tc (0.7473, 0.5000, 0.8368)  3 Cu 2.48-2.58, 4 P 2.50-2.67
Tc (0.9775, 0.5000, 0.4796)  3 P 2.49-2.63, 4 Cu 2.57-2.62
P (0.2389, 0.5000, 0.3074)  7 Tc 2.49-2.67, 2 Cu 2.58
P (0.7389, 0.0000, 0.3074)  7 Tc 2.49-2.67, 2 Cu 2.58

***

2.
## Cu2TcP (GGA-PBE)

Data for a geometry-optimized Cu2TcP structure.

For the total energy, the calculation gives -6.065 eV/atom. For the calculated formation energy, the calculation gives -0.073 eV/atom. The calculation puts the density of states at the Fermi level at 5.1 states/eV per cell.

a = 3.1730 Å, b = 3.0436 Å, c = 10.9739 Å
α = 90.00°, β = 90.00°, γ = 90.00°
With the nearest neighbours (Å) after each atom.
Sites, in units of the cell vectors:
Cu (0.0000, 0.0000, 0.0000)  2 P 2.31, 4 Cu 2.51
Cu (0.0000, 0.5000, 0.5000)  2 P 2.31, 4 Cu 2.51
Cu (0.5000, 0.0000, 0.3895)  4 Cu 2.51, 1 P 2.59, 4 Tc 2.75
Cu (0.5000, 0.5000, 0.8895)  4 Cu 2.51, 1 P 2.59, 4 Tc 2.75
Tc (0.0000, 0.0000, 0.7386)  4 P 2.39
Tc (0.0000, 0.5000, 0.2386)  4 P 2.39
P (0.5000, 0.0000, 0.1531)  2 Cu 2.31, 4 Tc 2.39
P (0.5000, 0.5000, 0.6531)  2 Cu 2.31, 4 Tc 2.39

***

3.
## ZrCu2TcP (GGA-PBE)

Data for a geometry-optimized ZrCu2TcP structure.

For the total energy, the calculation gives -6.336 eV/atom. For the calculated formation energy, the calculation gives 0.167 eV/atom. The calculation puts the density of states at the Fermi level at 3.5 states/eV per cell.

a = 4.2632 Å, b = 4.2632 Å, c = 4.5275 Å
α = 90.00°, β = 90.00°, γ = 90.00°
With the nearest neighbours (Å) after each atom.
Sites, in units of the cell vectors:
Zr (0.0000, 0.0000, 0.0000)  4 Tc 3.01, 8 Cu 3.11
Cu (0.0000, 0.5000, 0.5000)  2 P 2.13
Cu (0.5000, 0.0000, 0.5000)  2 P 2.13
Tc (0.5000, 0.5000, 0.0000)  2 P 2.26
P (0.5000, 0.5000, 0.5000)  4 Cu 2.13, 2 Tc 2.26

***

4.
## CuTeP2 (GGA-PBE)

Data for a geometry-optimized CuTeP2 structure.

The formation energy without anion corrections comes out at 0.154 eV per atom. For the total energy, the calculation gives -4.360 eV/atom. The calculation puts the density of states at the Fermi level at 2.4 states/eV per cell.

a = 7.4356 Å, b = 3.1970 Å, c = 6.6955 Å
α = 90.00°, β = 98.43°, γ = 90.00°
With the nearest neighbours (Å) after each atom.
Sites, in units of the cell vectors:
Cu (0.0000, 0.0000, 0.0000)  1 P 2.36
Cu (0.5000, 0.5000, 0.0000)  1 P 2.36
Te (0.2350, 0.5000, 0.2500)  3 Cu 2.75-2.77, 1 P 2.75
Te (0.7350, 0.0000, 0.2500)  3 Cu 2.75-2.77, 1 P 2.75
P (0.0777, 0.5000, 0.5976)  2 P 2.19
P (0.2207, 0.0000, 0.7803)  2 P 2.19, 1 Cu 2.36
P (0.5777, 0.0000, 0.5976)  2 P 2.19
P (0.7207, 0.5000, 0.7803)  2 P 2.19, 1 Cu 2.36

***

5.
## Cu2TeP (GGA-PBE)

Data for a geometry-optimized Cu2TeP structure.

The formation energy without anion corrections comes out at 0.376 eV per atom. For the total energy, the calculation gives -3.810 eV/atom. As for the energy above the most stable polymorph in this dataset: 30.9 kJ per mole of atoms. The calculation puts the density of states at the Fermi level at 3.8 states/eV per cell.

a = 3.5677 Å, b = 5.3431 Å, c = 7.4294 Å
α = 90.00°, β = 90.00°, γ = 90.00°
With the nearest neighbours (Å) after each atom.
Sites, in units of the cell vectors:
Cu (0.0000, 0.0000, 0.2126)  2 P 2.38
Cu (0.0000, 0.0000, 0.7874)  2 P 2.38
Cu (0.5000, 0.5000, 0.2874)  2 P 2.38
Cu (0.5000, 0.5000, 0.7126)  2 P 2.38
Te (0.0000, 0.5000, 0.0000)  8 Cu 2.78-3.10
Te (0.5000, 0.0000, 0.5000)  8 Cu 2.78-3.10
P (0.0000, 0.5000, 0.5000)  4 Cu 2.38
P (0.5000, 0.0000, 0.0000)  4 Cu 2.38

***

6.
## CuTeP2 (GGA-PBE)

Data for a geometry-optimized CuTeP2 structure.

The formation energy without anion corrections comes out at 0.335 eV per atom. For the total energy, the calculation gives -4.180 eV/atom. The calculation puts the density of states at the Fermi level at 2.8 states/eV per cell.

a = 3.8625 Å, b = 5.1923 Å, c = 9.6570 Å
α = 90.00°, β = 90.00°, γ = 90.00°
With the nearest neighbours (Å) after each atom.
Sites, in units of the cell vectors:
Cu (0.0000, 0.0000, 0.0000)  4 P 2.26
Cu (0.5000, 0.5000, 0.5000)  4 P 2.26
Te (0.0000, 0.0000, 0.5000)  4 P 2.85
Te (0.5000, 0.5000, 0.0000)  4 P 2.85
P (0.0000, 0.5000, 0.3776)  2 Cu 2.26, 1 P 2.36
P (0.0000, 0.5000, 0.6224)  2 Cu 2.26, 1 P 2.36
P (0.5000, 0.0000, 0.1224)  2 Cu 2.26, 1 P 2.36
P (0.5000, 0.0000, 0.8776)  2 Cu 2.26, 1 P 2.36

***

7.
## Cu2TeP (GGA-PBE)

Data for a geometry-optimized Cu2TeP structure.

The formation energy without anion corrections comes out at 0.390 eV per atom. For the total energy, the calculation gives -3.796 eV/atom. As for the energy above the most stable polymorph in this dataset: 32.3 kJ per mole of atoms. The calculation puts the density of states at the Fermi level at 1.5 states/eV per cell.

a = 3.4021 Å, b = 3.4986 Å, c = 5.7218 Å
α = 90.00°, β = 90.00°, γ = 90.00°
With the nearest neighbours (Å) after each atom.
Sites, in units of the cell vectors:
Cu (0.0000, 0.0000, 0.2089)  1 Cu 2.39
Cu (0.0000, 0.0000, 0.7911)  1 Cu 2.39
Te (0.5000, 0.5000, 0.5000)  2 P 2.86, 8 Cu 2.95
P (0.5000, 0.5000, 0.0000)  8 Cu 2.72, 2 Te 2.86

***

8.
## CuTeP2 (GGA-PBE)

Data for a geometry-optimized CuTeP2 structure.

The formation energy without anion corrections comes out at 0.690 eV per atom. For the total energy, the calculation gives -3.824 eV/atom. The calculation puts the density of states at the Fermi level at 5.0 states/eV per cell.

a = 5.3438 Å, b = 7.4507 Å, c = 3.6742 Å
α = 90.00°, β = 90.00°, γ = 90.00°
With the nearest neighbours (Å) after each atom.
Sites, in units of the cell vectors:
Cu (0.0000, 0.0000, 0.0000)  2 Te 2.67, 8 P 2.94
Cu (0.5000, 0.5000, 0.0000)  2 Te 2.67, 8 P 2.94
Te (0.0000, 0.5000, 0.0000)  2 Cu 2.67, 8 P 2.94
Te (0.5000, 0.0000, 0.0000)  2 Cu 2.67, 8 P 2.94
P (0.2500, 0.2500, 0.5000)  2 P 2.67, 4 Te 2.94, 4 Cu 2.94
P (0.2500, 0.7500, 0.5000)  2 P 2.67, 4 Te 2.94, 4 Cu 2.94
P (0.7500, 0.2500, 0.5000)  2 P 2.67, 4 Te 2.94, 4 Cu 2.94
P (0.7500, 0.7500, 0.5000)  2 P 2.67, 4 Cu 2.94, 4 Te 2.94

***

9.
## Cu2TeP (GGA-PBE)

Data for a geometry-optimized Cu2TeP structure.

The formation energy without anion corrections comes out at 0.137 eV per atom. For the total energy, the calculation gives -4.049 eV/atom. As for the energy above the most stable polymorph in this dataset: 7.8 kJ per mole of atoms. The calculation puts the density of states at the Fermi level at 1.8 states/eV per cell.

a = 3.0709 Å, b = 3.9143 Å, c = 6.4686 Å
α = 90.00°, β = 96.93°, γ = 90.00°
With the nearest neighbours (Å) after each atom.
Sites, in units of the cell vectors:
Cu (0.0000, 0.0000, 0.0000)  2 P 2.29
Cu (0.4772, 0.5000, 0.8965)  2 P 2.39-2.41, 4 Cu 2.57-2.58, 2 Te 2.66
Te (0.4326, 0.0000, 0.6171)  4 Cu 2.66-2.95
P (0.0552, 0.5000, 0.1840)  4 Cu 2.29-2.41

***

10.
## CuTeP2 (GGA-PBE)

Data for a geometry-optimized CuTeP2 structure.

The formation energy without anion corrections comes out at 0.254 eV per atom. For the total energy, the calculation gives -4.261 eV/atom. The calculation puts the density of states at the Fermi level at 2.4 states/eV per cell.

a = 3.7695 Å, b = 3.7695 Å, c = 17.6155 Å
α = 90.00°, β = 90.00°, γ = 120.00°
With the nearest neighbours (Å) after each atom.
Sites, in units of the cell vectors:
Cu (0.0000, 0.0000, 0.0000)  6 P 2.45
Cu (0.3333, 0.6667, 0.6667)  6 P 2.45
Cu (0.6667, 0.3333, 0.3333)  6 P 2.45
Te (0.0000, 0.0000, 0.5000)  6 P 2.83
Te (0.3333, 0.6667, 0.1667)  6 P 2.83
Te (0.6667, 0.3333, 0.8333)  6 P 2.83
P (0.0000, 0.0000, 0.2694)  3 Cu 2.45
P (0.0000, 0.0000, 0.7306)  3 Cu 2.45
P (0.3333, 0.6667, 0.3972)  3 Cu 2.45
P (0.3333, 0.6667, 0.9361)  3 Cu 2.45
P (0.6667, 0.3333, 0.0639)  3 Cu 2.45
P (0.6667, 0.3333, 0.6028)  3 Cu 2.45